Record 1
The following is a meta-GGA SCAN calculation of a PBEsol-optimized structure of Ag4Pt3, from Alexandria.

The structure in CIF format:
```
data_Ag4Pt3
_chemical_formula_sum 'Ag12 Pt9'
_symmetry_space_group_name_H-M 'R 3'
_symmetry_Int_Tables_number 146
_symmetry_space_group_name_Hall 'R 3'
_cell_length_a 7.4409
_cell_length_b 7.4409
_cell_length_c 6.8889
_cell_angle_alpha 90.00
_cell_angle_beta 90.00
_cell_angle_gamma 120.00
loop_
_atom_site_label
_atom_site_fract_x
_atom_site_fract_y
_atom_site_fract_z
Ag1 0.0000 0.0000 0.0000
Ag2 0.1425 0.4261 0.0023
Pt1 0.0401 0.8072 0.6695
```

Results
Final energy in eV/atom: -47.968
Relative energy among the computed polymorphs in eV/atom: 0.0502
Formation energy in meV/atom: 39

***

Record 2
The following is a meta-GGA SCAN calculation of a PBEsol-optimized structure of K2BaRe, from Alexandria.

The structure in CIF format:
```
data_K2BaRe
_chemical_formula_sum 'K8 Ba4 Re4'
_symmetry_space_group_name_H-M 'F m -3 m'
_symmetry_Int_Tables_number 225
_symmetry_space_group_name_Hall '-F 4 2 3'
_cell_length_a 8.234
_cell_length_b 8.234
_cell_length_c 8.234
_cell_angle_alpha 90.00
_cell_angle_beta 90.00
_cell_angle_gamma 90.00
loop_
_atom_site_label
_atom_site_fract_x
_atom_site_fract_y
_atom_site_fract_z
K1 0.250 0.250 0.250
Ba1 0.000 0.000 0.000
Re1 0.000 0.000 0.500
```

Results
Final energy in eV/atom: -30.357
Formation energy in meV/atom: 1469